# LaSm3Er6Th2

LaSm3Er6Th2 after structural relaxation (GGA-PBE, Alexandria via LeMat-Bulk).

abc: 6.2078 6.2078 11.6782
angles: 95.10 95.10 119.99
Element x y z (fractional)
La  0.0000  0.0000  0.0000
Sm  0.1664  0.8336  0.5000
Sm  0.8336  0.1664  0.5000
Sm  0.5000  0.5000  0.5000
Er  0.9175  0.5788  0.7529
Er  0.7437  0.7437  0.2473
Er  0.0825  0.4212  0.2471
Er  0.5788  0.9175  0.7529
Er  0.2563  0.2563  0.7527
Er  0.4212  0.0825  0.2471
Th  0.3333  0.6667  0.0000
Th  0.6667  0.3333  0.0000

Results
Volume   383.6 Å³ per cell
DFT formation energy   0.29 eV/f.u.